# Sr2Ni2AsP (GGA-PBE, optimized geometry)
# VASP energy ... -4.9127 eV/atom
data_Sr2Ni2AsP
_chemical_formula_sum 'Sr2 Ni2 As1 P1'
_space_group_name_H-M_alt 'P -6 m 2'
_space_group_IT_number 187
_space_group_name_Hall 'P -6 2'
_cell_length_a 4.0184
_cell_length_b 4.0184
_cell_length_c 9.0492
_cell_angle_alpha 90.00
_cell_angle_beta 90.00
_cell_angle_gamma 120.00
loop_
_atom_site_label
_atom_site_fract_x
_atom_site_fract_y
_atom_site_fract_z
Sr1 0.0000 0.0000 0.2432
Ni1 0.3333 0.6667 0.0000
Ni2 0.6667 0.3333 0.5000
As1 0.3333 0.6667 0.5000
P1 0.6667 0.3333 0.0000